1.
A plane-wave DFT calculation with GGA-PBE was carried out for a relaxed Li2YHPb crystal.

## Properties
**Electronic total energy**: -3.91 eV per atom

The structure in POSCAR format:
```
Li2YHPb
1.0
4.415 0.000 0.000
0.000 4.415 0.000
0.000 0.000 4.711
Li Y H Pb
2 1 1 1
direct
0.000 0.500 0.000 Li
0.500 0.000 0.000 Li
0.000 0.000 0.500 Y
0.000 0.000 0.000 H
0.500 0.500 0.500 Pb
```

2.
A plane-wave DFT calculation with GGA-PBE was carried out for a relaxed Ca4PNCl2 crystal.

## Properties
**ΔE_f (raw)**: -1.555 eV per atom

The structure in POSCAR format:
```
Ca4PNCl2
1.0
6.859 0.000 0.000
0.000 3.926 0.000
-2.355 0.000 6.745
Ca P N Cl
4 1 1 2
direct
0.215 0.000 0.196 Ca
0.235 0.500 0.802 Ca
0.765 0.500 0.198 Ca
0.785 0.000 0.804 Ca
0.500 0.000 0.000 P
0.000 0.500 0.000 N
0.000 0.000 0.500 Cl
0.500 0.500 0.500 Cl
```

3.
A plane-wave DFT calculation with GGA-PBE was carried out for a relaxed K6ThI12 crystal.

## Properties
**ΔE_f (raw)**: -1.185 eV per atom

The structure in POSCAR format:
```
K6ThI12
1.0
7.526 4.345 4.988
-7.526 4.345 4.988
0.000 -8.691 4.988
K Th I
6 1 12
direct
0.154 0.290 0.630 K
0.290 0.630 0.154 K
0.370 0.846 0.710 K
0.630 0.154 0.290 K
0.710 0.370 0.846 K
0.846 0.710 0.370 K
0.000 0.000 0.000 Th
0.018 0.939 0.694 I
0.061 0.306 0.982 I
0.162 0.581 0.463 I
0.306 0.982 0.061 I
0.419 0.537 0.838 I
0.463 0.162 0.581 I
0.537 0.838 0.419 I
0.581 0.463 0.162 I
0.694 0.018 0.939 I
0.838 0.419 0.537 I
0.939 0.694 0.018 I
0.982 0.061 0.306 I
```

So what do the calculations give for calculated density? Going down the list: 5.6 2.5 3.4 g/cm3.